(1)
The following is a DFT calculation (PBE) of Hf2MnIr after structural relaxation.

a b c (Å): 6.4333 6.4333 6.4333
angles (deg): 90.00 90.00 90.00
Fractional coordinates of all 16 atoms:
Hf 0.2500 0.2500 0.2500
Hf 0.2500 0.2500 0.7500
Hf 0.2500 0.7500 0.2500
Hf 0.2500 0.7500 0.7500
Hf 0.7500 0.2500 0.2500
Hf 0.7500 0.2500 0.7500
Hf 0.7500 0.7500 0.2500
Hf 0.7500 0.7500 0.7500
Mn 0.0000 0.0000 0.0000
Mn 0.0000 0.5000 0.5000
Mn 0.5000 0.0000 0.5000
Mn 0.5000 0.5000 0.0000
Ir 0.0000 0.0000 0.5000
Ir 0.0000 0.5000 0.0000
Ir 0.5000 0.0000 0.0000
Ir 0.5000 0.5000 0.5000

Properties
SG: Fm-3m
M_tot: 0.0 Bohr magnetons per cell
ΔE_f: -61.4 kJ/mol of atoms

***

(2)
The following is a DFT calculation (PBE) of Mn2TcGe2 after structural relaxation.

a b c (Å): 6.5904 6.5904 3.2994
angles (deg): 90.00 90.00 90.00
Fractional coordinates of all 10 atoms:
Mn 0.1584 0.3416 0.0000
Mn 0.3416 0.8416 0.0000
Mn 0.6584 0.1584 0.0000
Mn 0.8416 0.6584 0.0000
Tc 0.0000 0.0000 0.5000
Tc 0.5000 0.5000 0.5000
Ge 0.1415 0.6415 0.5000
Ge 0.3585 0.1415 0.5000
Ge 0.6415 0.8585 0.5000
Ge 0.8585 0.3585 0.5000

Properties
SG: P4/mbm
M_tot: 12.9 Bohr magnetons per cell
ΔE_f: 0.7 kJ/mol of atoms

***

(3)
The following is a DFT calculation (PBE) of RbTaTlSe4 after structural relaxation.

a b c (Å): 7.3937 6.2004 12.1538
angles (deg): 90.00 98.92 90.00
Fractional coordinates of all 14 atoms:
Rb 0.2345 0.2500 0.4139
Rb 0.7655 0.7500 0.5861
Ta 0.3256 0.7500 0.7480
Ta 0.6744 0.2500 0.2520
Tl 0.2379 0.2500 0.9598
Tl 0.7621 0.7500 0.0402
Se 0.0706 0.7500 0.8478
Se 0.2417 0.7500 0.5498
Se 0.4453 0.5216 0.1856
Se 0.4453 0.9784 0.1856
Se 0.5547 0.0216 0.8144
Se 0.5547 0.4784 0.8144
Se 0.7583 0.2500 0.4502
Se 0.9294 0.2500 0.1522

Properties
raw formation energy: -693 meV per atom
SG: P2_1/m
M_tot: 0.0 Bohr magnetons per cell

***

(4)
The following is a DFT calculation (PBE) of RuAu2I after structural relaxation.

a b c (Å): 6.8184 6.8184 6.8184
angles (deg): 90.00 90.00 90.00
Fractional coordinates of all 16 atoms:
Ru 0.0000 0.0000 0.0000
Ru 0.0000 0.5000 0.5000
Ru 0.5000 0.0000 0.5000
Ru 0.5000 0.5000 0.0000
Au 0.2500 0.2500 0.2500
Au 0.2500 0.2500 0.7500
Au 0.2500 0.7500 0.2500
Au 0.2500 0.7500 0.7500
Au 0.7500 0.2500 0.2500
Au 0.7500 0.2500 0.7500
Au 0.7500 0.7500 0.2500
Au 0.7500 0.7500 0.7500
I 0.0000 0.0000 0.5000
I 0.0000 0.5000 0.0000
I 0.5000 0.0000 0.0000
I 0.5000 0.5000 0.5000

Properties
raw formation energy: 989 meV per atom
SG: Fm-3m
M_tot: 0.0 Bohr magnetons per cell